1.
DFT (GGA-PBE) results for crystalline Hf3SbW at its relaxed geometry.

```
Hf3SbW
1.0
5.0935 0.0000 0.0000
0.0000 5.0935 0.0000
0.0000 0.0000 5.0935
Hf Sb W
3 1 1
Cartesian
0.0000 0.0000 2.5467 Hf
0.0000 2.5467 0.0000 Hf
2.5467 0.0000 0.0000 Hf
0.0000 0.0000 0.0000 Sb
2.5467 2.5467 2.5467 W
```

Uncorrected formation energy in meV/atom: 1540
ρ in g cm⁻³: 10.57
Energy above the lowest structure with this stoichiometry in meV per atom: 1725
Magnetization in μB per formula unit: 0.0
Space-group type: No. 221
DOS at the Fermi energy in states/eV/f.u.: 5.0

=====

2.
DFT (GGA-PBE) results for crystalline Sm2Al3Zn4Cu at its relaxed geometry.

```
Sm2Al3Zn4Cu
1.0
4.2195 0.0000 0.0000
0.0000 4.2195 0.0000
0.0000 0.0000 10.5949
Sm Al Zn Cu
2 3 4 1
Cartesian
0.0000 2.1097 2.6188 Sm
2.1097 0.0000 7.9761 Sm
0.0000 0.0000 0.0000 Al
0.0000 2.1097 6.7566 Al
2.1097 0.0000 3.8383 Al
0.0000 0.0000 5.2974 Zn
0.0000 2.1097 9.2199 Zn
2.1097 0.0000 1.3749 Zn
2.1097 2.1097 5.2974 Zn
2.1097 2.1097 0.0000 Cu
```

Energy of formation from the pure elements in eV/atom: -0.35
ρ in g cm⁻³: 6.22
Magnetization in μB per formula unit: 0.0
Space-group type: No. 115
DOS at the Fermi energy in states/eV/f.u.: 5.0

=====

3.
DFT (GGA-PBE) results for crystalline CdReTe at its relaxed geometry.

```
CdReTe
1.0
-1.6067 1.6067 6.6413
1.6067 -1.6067 6.6413
1.6067 1.6067 -6.6413
Cd Re Te
1 1 1
Cartesian
0.0000 0.0000 0.0000 Cd
0.0000 0.0000 4.7785 Re
0.0000 0.0000 9.9299 Te
```

Uncorrected formation energy in meV/atom: 447
ρ in g cm⁻³: 10.32
Energy above the lowest structure with this stoichiometry in meV per atom: 0
Magnetization in μB per formula unit: 0.0
Space-group type: No. 107
DOS at the Fermi energy in states/eV/f.u.: 2.1